Record 1
Computed, not measured: an optimized crystal structure of Tb2TlBi at the PBE level of DFT.

```
8
Lattice="4.426 0.000 0.000 0.000 4.495 -0.798 0.000 -0.122 12.367" Properties=species:S:1:pos:R:3 pbc="T T T"
Bi 1.107 0.802 4.517
Bi 3.320 3.571 7.051
Tl 3.320 2.441 0.686
Tl 1.107 1.933 10.882
Tb 3.320 3.019 3.943
Tb 3.320 4.111 10.092
Tb 1.107 1.354 7.625
Tb 1.107 0.262 1.476
```

Values from the calculation:
**Formation energy**: -589 meV/atom
**Space-group type**: Cmcm (63)
**Density**: 9.9 g cm⁻³

=====

Record 2
Computed, not measured: an optimized crystal structure of TmScNi2 at the PBE level of DFT.

```
4
Lattice="-1.490 -1.394 2.464 3.893 -2.258 1.077 1.270 3.500 2.748" Properties=species:S:1:pos:R:3 pbc="T T T"
Sc -0.745 -0.697 1.232
Ni 1.947 -1.129 0.538
Ni 0.635 1.750 1.374
Tm 1.837 -0.076 3.144
```

Values from the calculation:
**Formation energy**: -465 meV/atom
**Space-group type**: P4/mmm (123)
**Density**: 8.0 g cm⁻³

=====

Record 3
Computed, not measured: an optimized crystal structure of La2AgO at the PBE level of DFT.

```
8
Lattice="7.103 0.000 0.000 0.000 7.103 0.000 3.552 3.552 4.268" Properties=species:S:1:pos:R:3 pbc="T T T"
La 5.328 5.948 3.201
La 2.397 5.328 1.067
La 8.879 8.259 3.201
La 4.707 1.776 1.067
O 3.552 7.103 2.134
O 3.552 3.552 0.000
Ag 7.103 3.552 2.134
Ag 0.000 0.000 0.000
```

Values from the calculation:
**Space-group type**: I-42d (122)
**Density**: 6.2 g cm⁻³
**Uncorrected formation energy**: -1.40 eV/atom

=====

Record 4
Computed, not measured: an optimized crystal structure of AlAsOs3 at the PBE level of DFT.

```
5
Lattice="-0.988 0.302 4.342 2.213 -3.799 0.768 3.748 2.323 0.692" Properties=species:S:1:pos:R:3 pbc="T T T"
Al 0.000 0.000 0.000
As 2.486 -0.587 2.901
Os -0.494 0.151 2.171
Os 1.106 -1.900 0.384
Os 1.874 1.161 0.346
```

Values from the calculation:
**Formation energy**: 1763 meV/atom
**Space-group type**: Pm-3m (221)
**Density**: 12.6 g cm⁻³

=====

Record 5
Computed, not measured: an optimized crystal structure of Co2AgOs at the PBE level of DFT.

```
4
Lattice="4.069 0.000 0.000 0.000 2.651 0.016 0.000 1.300 4.976" Properties=species:S:1:pos:R:3 pbc="T T T"
Os 0.000 1.810 2.237
Ag 2.035 3.129 3.897
Co 2.035 0.490 1.316
Co 0.000 0.497 0.037
```

Values from the calculation:
**Formation energy**: 459 meV/atom
**Space-group type**: Amm2 (38)
**Density**: 12.9 g cm⁻³

=====

Record 6
Computed, not measured: an optimized crystal structure of YAg2BiS4 at the PBE level of DFT.

```
8
Lattice="4.029 0.000 0.000 0.000 6.699 0.017 0.000 2.511 6.569" Properties=species:S:1:pos:R:3 pbc="T T T"
Ag 0.000 2.511 6.569
Ag 2.015 1.255 3.284
S 2.015 5.623 1.686
S 0.000 6.898 4.872
S 4.029 2.313 1.714
S 2.015 3.587 4.899
Bi 2.015 3.350 0.008
Y 0.000 4.605 3.293
```

Values from the calculation:
**Space-group type**: P2/m (10)
**Density**: 6.0 g cm⁻³
**Uncorrected formation energy**: -0.75 eV/atom

=====

Record 7
Computed, not measured: an optimized crystal structure of Pm2Pu3S8 at the PBE level of DFT.

```
13
Lattice="6.756 0.000 0.160 0.000 7.991 0.000 -2.544 -3.996 6.498" Properties=species:S:1:pos:R:3 pbc="T T T"
S -1.402 0.000 5.044
S 2.068 2.157 4.991
S 5.615 3.996 1.614
S 5.654 0.000 1.611
S 2.068 -2.157 4.991
S 2.145 1.838 1.667
S -1.442 3.996 5.047
S 2.145 6.153 1.667
Pu 0.000 5.931 0.000
Pu 3.378 0.000 0.080
Pu 0.000 2.060 0.000
Pm 0.939 0.000 3.535
Pm 3.273 3.996 3.123
```

Values from the calculation:
**Space-group type**: C2/m (12)
**Density**: 6.0 g cm⁻³
**Uncorrected formation energy**: -1.71 eV/atom

=====

Record 8
Computed, not measured: an optimized crystal structure of ThGa4Ru3 at the PBE level of DFT.

```
16
Lattice="4.382 0.000 0.000 0.000 7.021 0.000 0.000 0.000 8.762" Properties=species:S:1:pos:R:3 pbc="T T T"
Ga 2.191 5.612 4.381
Ga 2.191 1.409 0.000
Ga 4.380 5.612 2.191
Ga 2.191 1.409 4.381
Ga 2.191 5.612 0.000
Ga 4.380 1.409 2.191
Ga 0.002 5.612 6.572
Ga 0.002 1.409 6.572
Th 0.000 3.511 0.000
Th 0.000 3.511 4.381
Ru 0.000 0.000 4.381
Ru 0.000 0.000 0.000
Ru 2.190 3.511 6.572
Ru 2.192 3.511 2.191
Ru 2.193 0.000 6.572
Ru 2.189 0.000 2.191
```

Values from the calculation:
**Formation energy**: -266 meV/atom
**Space-group type**: P4/mmm (123)
**Density**: 10.0 g cm⁻³

=====

Record 9
Computed, not measured: an optimized crystal structure of Ac2MgSn4 at the PBE level of DFT.

```
7
Lattice="-2.474 4.622 -0.971 -4.586 -2.612 -0.749 1.768 -0.240 8.986" Properties=species:S:1:pos:R:3 pbc="T T T"
Sn -4.706 1.514 4.561
Sn -0.587 0.254 2.705
Sn -2.293 -1.306 -0.374
Sn -1.237 2.311 -0.486
Ac -4.005 1.210 1.328
Ac -1.288 0.558 5.938
Mg 0.000 0.000 0.000
```

Values from the calculation:
**Formation energy**: -222 meV/atom
**Space-group type**: I4/mmm (139)
**Density**: 6.7 g cm⁻³

=====

Record 10
Computed, not measured: an optimized crystal structure of HoMnNbC3 at the PBE level of DFT.

```
12
Lattice="3.308 0.000 0.000 0.000 6.821 0.633 0.000 -1.963 6.983" Properties=species:S:1:pos:R:3 pbc="T T T"
C 0.827 4.703 3.875
C 2.481 0.155 3.741
C 2.481 5.717 1.582
C 0.827 -0.859 6.034
C 0.827 2.237 6.283
C 2.481 2.620 1.333
Ho 0.827 0.788 1.439
Ho 2.481 4.070 6.177
Nb 2.481 0.766 6.195
Nb 0.827 4.091 1.422
Mn 2.481 5.350 3.356
Mn 0.827 -0.492 4.260
```

Values from the calculation:
**Formation energy**: -105 meV/atom
**Space-group type**: P2_1/m (11)
**Density**: 7.2 g cm⁻³

=====

Record 11
Computed, not measured: an optimized crystal structure of Pm4GaAsSe2 at the PBE level of DFT.

```
8
Lattice="4.171 0.000 0.000 0.000 7.390 -0.192 0.000 2.560 6.919" Properties=species:S:1:pos:R:3 pbc="T T T"
Se 0.000 2.560 6.919
Se 2.085 1.280 3.460
Pm 2.085 3.789 5.148
Pm 2.085 6.161 1.580
Pm 4.171 2.548 1.658
Pm 0.000 7.402 5.070
Ga 0.000 4.975 3.364
As 2.085 3.695 -0.096
```

Values from the calculation:
**Space-group type**: P2/m (10)
**Density**: 6.8 g cm⁻³
**Uncorrected formation energy**: -1.46 eV/atom

=====

Record 12
Computed, not measured: an optimized crystal structure of P2RhCI at the PBE level of DFT.

```
5
Lattice="4.073 0.000 0.000 0.000 4.666 0.000 0.000 0.000 4.073" Properties=species:S:1:pos:R:3 pbc="T T T"
P 0.000 0.000 2.037
P 2.037 0.000 0.000
I 0.000 2.333 0.000
Rh 2.037 2.333 2.037
C 0.000 0.000 0.000
```

Values from the calculation:
**Space-group type**: P4/mmm (123)
**Density**: 6.5 g cm⁻³
**Uncorrected formation energy**: 1.33 eV/atom

=====

Record 13
Computed, not measured: an optimized crystal structure of TmAuI6 at the PBE level of DFT.

```
8
Lattice="8.929 1.955 -0.963 6.251 7.700 -1.051 4.097 2.663 6.133" Properties=species:S:1:pos:R:3 pbc="T T T"
Au 0.000 0.000 0.000
I 7.088 6.107 3.408
I 11.161 8.599 3.145
I 8.116 3.719 0.974
I 12.190 6.211 0.712
I 10.447 4.425 4.459
I 8.831 7.893 -0.339
Tm 9.639 6.159 2.060
```

Values from the calculation:
**Space-group type**: P-1 (2)
**Density**: 5.0 g cm⁻³
**Uncorrected formation energy**: -0.63 eV/atom

=====

Record 14
Computed, not measured: an optimized crystal structure of TaMo5 at the PBE level of DFT.

```
6
Lattice="-0.382 1.937 1.778 -1.058 -1.758 1.688 12.748 -2.463 5.424" Properties=species:S:1:pos:R:3 pbc="T T T"
Mo 7.748 -1.547 5.336
Mo 10.585 -2.045 4.504
Mo 6.374 -1.232 2.712
Mo 3.560 -0.738 3.554
Mo 2.163 -0.418 0.920
Ta -0.720 0.089 1.733
```

Values from the calculation:
**Formation energy**: 268 meV/atom
**Space-group type**: P4/mmm (123)
**Density**: 11.0 g cm⁻³

=====

Record 15
Computed, not measured: an optimized crystal structure of EuAgSn at the PBE level of DFT.

```
6
Lattice="-1.044 -3.591 4.893 3.353 -4.254 2.930 3.229 0.477 7.069" Properties=species:S:1:pos:R:3 pbc="T T T"
Ag 1.305 -1.143 3.308
Ag 4.233 -6.226 11.584
Eu 3.515 -3.918 9.196
Eu 2.023 -3.450 5.696
Sn 3.255 -0.878 7.587
Sn 2.282 -6.491 7.306
```

Values from the calculation:
**Formation energy**: -480 meV/atom
**Space-group type**: C2/m (12)
**Density**: 7.9 g cm⁻³

=====

Record 16
Computed, not measured: an optimized crystal structure of Er2Al3Pt at the PBE level of DFT.

```
6
Lattice="0.579 5.146 -1.845 2.427 -4.162 -2.647 -4.765 -2.539 -0.386" Properties=species:S:1:pos:R:3 pbc="T T T"
Pt 0.000 0.000 0.000
Er 0.749 1.980 -2.424
Er -2.508 -3.535 -2.453
Al -2.093 1.304 -1.115
Al -2.382 -1.269 -0.193
Al -0.879 -0.777 -2.439
```

Values from the calculation:
**Formation energy**: -806 meV/atom
**Space-group type**: R-3m (166)
**Density**: 8.8 g cm⁻³

=====

Record 17
Computed, not measured: an optimized crystal structure of TlTe6 at the PBE level of DFT.

```
7
Lattice="-5.920 -4.721 -0.217 6.410 -4.008 0.481 -0.604 4.531 6.040" Properties=species:S:1:pos:R:3 pbc="T T T"
Te -1.386 -4.412 1.588
Te 3.025 -1.921 3.327
Te -3.140 -2.277 2.978
Te 1.272 0.214 4.717
Te -1.811 0.036 4.542
Te 1.696 -4.234 1.762
Tl 0.000 0.000 0.000
```

Values from the calculation:
**Space-group type**: Im-3m (229)
**Density**: 4.8 g cm⁻³
**Uncorrected formation energy**: 0.39 eV/atom

=====

Record 18
Computed, not measured: an optimized crystal structure of BeBiPt3 at the PBE level of DFT.

```
20
Lattice="4.578 -1.707 6.476 2.619 5.987 4.808 -3.060 0.839 7.466" Properties=species:S:1:pos:R:3 pbc="T T T"
Bi 4.116 2.780 7.986
Bi 1.276 0.206 9.315
Bi 0.297 4.053 8.481
Bi 2.586 3.199 11.719
Pt -1.094 0.566 3.896
Pt 5.069 3.566 10.492
Pt 2.076 -0.491 3.485
Pt 2.391 4.565 6.703
Pt 3.537 0.063 7.679
Pt 0.600 5.056 11.071
Pt 0.806 -0.142 6.583
Pt -0.007 3.050 5.891
Pt 3.162 1.993 5.480
Pt 1.263 2.702 2.792
Pt 1.746 0.554 12.047
Pt -0.932 1.553 8.258
Be 2.806 -0.214 5.582
Be 0.517 0.640 2.344
Be -1.013 1.060 6.077
Be 1.827 3.633 4.748
```

Values from the calculation:
**Formation energy**: -143 meV/atom
**Space-group type**: Fd-3m (227)
**Density**: 14.1 g cm⁻³

=====

Record 19
Computed, not measured: an optimized crystal structure of Rb3Mg2Tl9 at the PBE level of DFT.

```
14
Lattice="-2.510 -0.658 -4.535 0.835 -9.784 -2.052 -8.845 -4.036 2.472" Properties=species:S:1:pos:R:3 pbc="T T T"
Rb -4.161 -4.609 -3.048
Rb -6.360 -9.870 -1.067
Rb 0.000 0.000 0.000
Mg -7.156 -6.114 -1.172
Mg -3.364 -8.365 -2.944
Tl -6.934 -12.749 -3.341
Tl -4.005 -6.910 0.210
Tl -5.096 -10.477 -4.689
Tl -3.587 -1.730 -0.774
Tl -5.424 -4.002 0.573
Tl -1.203 -6.509 -1.400
Tl -9.318 -7.970 -2.716
Tl -0.789 -3.391 -2.081
Tl -9.732 -11.088 -2.034
```

Values from the calculation:
**Formation energy**: -40 meV/atom
**Space-group type**: Immm (71)
**Density**: 7.4 g cm⁻³

=====

Record 20
Computed, not measured: an optimized crystal structure of LiYMg30O32 at the PBE level of DFT.

```
64
Lattice="8.562 0.000 0.000 0.000 8.562 0.000 0.000 0.000 8.572" Properties=species:S:1:pos:R:3 pbc="T T T"
Mg 4.281 4.281 4.286
Mg 2.123 6.439 4.286
Mg 2.142 4.281 6.413
Mg 2.164 0.000 6.340
Mg 2.191 2.191 0.000
Mg 2.191 6.372 0.000
Mg 6.372 2.191 0.000
Mg 6.439 6.439 4.286
Mg 0.000 6.398 2.232
Mg 0.000 2.164 6.340
Mg 2.142 4.281 2.159
Mg 6.439 2.123 4.286
Mg 2.164 0.000 2.232
Mg 6.398 0.000 6.340
Mg 6.421 4.281 2.159
Mg 6.372 6.372 0.000
Mg 4.281 4.281 0.000
Mg 4.281 2.142 6.413
Mg 4.281 0.000 4.286
Mg 6.421 4.281 6.413
Mg 2.123 2.123 4.286
Mg 0.000 6.398 6.340
Mg 6.398 0.000 2.232
Mg 0.000 4.281 4.286
Mg 4.281 0.000 0.000
Mg 4.281 6.421 6.413
Mg 0.000 2.164 2.232
Mg 4.281 2.142 2.159
Mg 4.281 6.421 2.159
Mg 0.000 4.281 0.000
O 0.000 4.281 6.433
O 6.425 6.425 2.136
O 4.281 6.408 4.286
O 0.000 0.000 6.367
O 6.425 2.137 6.436
O 6.340 0.000 0.000
O 6.425 2.137 2.136
O 0.000 2.217 4.286
O 4.281 6.407 0.000
O 6.425 6.425 6.436
O 2.137 6.425 6.436
O 0.000 4.281 2.139
O 6.345 0.000 4.286
O 2.154 4.281 4.286
O 0.000 2.222 0.000
O 6.408 4.281 4.286
O 6.407 4.281 0.000
O 4.281 0.000 2.139
O 0.000 0.000 2.205
O 2.137 2.137 6.436
O 2.137 2.137 2.136
O 4.281 4.281 2.138
O 4.281 2.154 4.286
O 0.000 6.340 0.000
O 4.281 0.000 6.433
O 2.217 0.000 4.286
O 2.155 4.281 0.000
O 0.000 6.345 4.286
O 2.222 0.000 0.000
O 4.281 4.281 6.434
O 2.137 6.425 2.136
O 4.281 2.155 0.000
Y 0.000 0.000 0.000
Li 0.000 0.000 4.286
```

Values from the calculation:
**Space-group type**: P4/mmm (123)
**Density**: 3.5 g cm⁻³
**Uncorrected formation energy**: -2.70 eV/atom